! CoTc2Ir GGA-PBE optimized geometry; values from VASP
&SYSTEM
  ibrav = 0, nat = 4, ntyp = 3
/
ATOMIC_SPECIES
Ir 192.22 Ir.upf
Co 58.93 Co.upf
Tc 98.00 Tc.upf
CELL_PARAMETERS angstrom
-0.914 -3.961 -1.295
2.046 -0.952 1.468
-2.889 -0.537 3.679
ATOMIC_POSITIONS crystal
Ir 0.500 0.625 0.781
Co 0.000 0.625 0.455
Tc 0.000 0.125 0.967
Tc 0.500 0.125 0.298
! Polymorph energy (0 for the lowest one): 0.0 meV/atom
! DFT total energy: -37.29 eV for the cell shown

! CoTcIr GGA-PBE optimized geometry; values from VASP
&SYSTEM
  ibrav = 0, nat = 3, ntyp = 3
/
ATOMIC_SPECIES
Co 58.93 Co.upf
Ir 192.22 Ir.upf
Tc 98.00 Tc.upf
CELL_PARAMETERS angstrom
-0.474 -2.496 -0.888
1.296 1.763 -1.567
5.631 -1.947 2.466
ATOMIC_POSITIONS crystal
Co 0.000 0.000 0.996
Ir 0.667 0.333 0.329
Tc 0.333 0.667 0.675
! Polymorph energy (0 for the lowest one): 49.6 meV/atom
! DFT total energy: -26.23 eV for the cell shown

What M_tot values result from the calculations? In sequence: 0.2, 1.3 μB/f.u..